DFT (GGA-PBE) results for an optimized crystal structure of Tb7Pm3Tm2.

Values from the calculation:
Offset from the most stable computed form (eV per atom): 0.000
Formation energy (kJ/mol of atoms): 8.5

abc: 5.839 3.565 18.795
angles: 90.00 93.07 90.00
Space group P2/m (No. 10)
One atom of each set of equivalent atoms:
Tb  0.000  0.000  0.000 [1 per cell]
Tb  0.191  0.500  0.178 [2 per cell]
Tb  0.257  0.500  0.537 [2 per cell]
Tb  0.311  0.000  0.855 [2 per cell]
Pm  0.220  0.000  0.366 [2 per cell]
Pm  0.500  0.500  0.000 [1 per cell]
Tm  0.290  0.500  0.706 [2 per cell]